## TbTmInTc (PBE)

Data for an optimized crystal structure of TbTmInTc.

Results
ΔE_f = -0.160 eV/atom
Calculated volume = 22.8 Å³ per atom
Energy = -5.71 eV/atom
Spin magnetization = 0.000 μB per atom

```
data_TbTmInTc
_cell_length_a 7.145
_cell_length_b 7.145
_cell_length_c 7.145
_cell_angle_alpha 90.00
_cell_angle_beta 90.00
_cell_angle_gamma 90.00
_space_group_name_H-M_alt 'F -4 3 m'
_space_group_IT_number 216
_space_group_name_Hall 'F -4 2 3'
loop_
_atom_site_label
_atom_site_type_symbol
_atom_site_fract_x
_atom_site_fract_y
_atom_site_fract_z
Tb1 Tb 0.000 0.000 0.000
Tm1 Tm 0.000 0.000 0.500
In1 In 0.250 0.250 0.250
Tc1 Tc 0.250 0.250 0.750
```